{
  "formula": "CeV2HgO7",
  "functional": "GGA+U",
  "state": "relaxed",
  "lattice_angstrom": [[-1.927, 1.927, 9.979], [1.927, -1.927, 9.979], [1.927, 1.927, -9.979]],
  "species": ["Ce", "V", "V", "Hg", "O", "O", "O", "O", "O", "O", "O"],
  "fractional_positions": [[0.000, 0.000, 0.000], [0.400, 0.400, 0.000], [0.600, 0.600, 0.000], [0.750, 0.250, 0.500], [0.079, 0.579, 0.500], [0.310, 0.310, 0.000], [0.421, 0.921, 0.500], [0.500, 0.500, 0.000], [0.583, 0.083, 0.500], [0.690, 0.690, 0.000], [0.917, 0.417, 0.500]],
  "energy_ry_per_atom": -0.519,
  "n_ef_per_ev_atom": 0.236,
  "magmom_total_mub_per_cell": 2.06,
  "spacegroup": "I-4m2, No. 119"
}